No. 1
A plane-wave DFT calculation with PBE was carried out for an optimized crystal structure of HoSi2Ru2.

Structure (POSCAR):
```
HoSi2Ru2
1.0
4.105 0.000 0.000
0.000 4.105 0.000
0.000 0.000 4.932
Ho Si Ru
1 2 2
Cartesian
0.000 0.000 0.000
2.053 2.053 1.187
2.053 2.053 3.745
0.000 2.053 2.466
2.053 0.000 2.466
```

Summary:
The crystal system is tetragonal. The uncorrected formation energy comes out at -3.54 eV per formula unit. For the electronic total energy, the calculation gives -7.502 eV/atom. The total magnetization is 0.00 μB/cell.

No. 2
A plane-wave DFT calculation with PBE was carried out for an optimized crystal structure of Nb2AlReH.

Structure (POSCAR):
```
Nb2AlReH
1.0
4.089 0.000 0.000
0.000 4.089 0.000
0.000 0.000 4.092
Nb Al Re H
2 1 1 1
Cartesian
0.000 2.045 0.000
2.045 0.000 0.000
0.000 0.000 2.046
2.045 2.045 2.046
0.000 0.000 0.000
```

Summary:
The crystal system is tetragonal. For the electronic total energy, the calculation gives -7.989 eV/atom. The total magnetization is 0.00 μB/cell.